ScH2Pt PBE optimized geometry; SG = Fm-3m, No. 225; ΔE to the lowest computed polymorph = 355.9 meV per atom; mass density = 9.47 g/cm³
1.0
-0.8010 -3.7598 0.7468
-3.1320 -0.9446 2.1526
-3.0897 -1.7162 -1.6865
Sc Pt H
1 1 2
Direct
0.0000 0.0000 0.0000 Sc
0.5000 0.5000 0.5000 Pt
0.7500 0.7500 0.7500 H
0.2500 0.2500 0.2500 H

---

Cr2ReNi PBE optimized geometry; formation enthalpy at 0 K = 0.104 eV/atom; SG = P4/mmm, No. 123; mass density = 11.73 g/cm³
1.0
-1.3317 2.6261 0.7908
-0.5497 -1.1168 2.7832
4.6840 1.8706 1.6757
Cr Re Ni
2 1 1
Direct
0.0000 0.0000 0.4758 Cr
0.0000 0.0000 0.0242 Cr
0.5000 0.5000 0.7500 Re
0.5000 0.5000 0.2500 Ni

---

KTiIn2Bi PBE optimized geometry; formation enthalpy at 0 K = -0.029 eV/atom; SG = P4/mmm, No. 123; mass density = 5.34 g/cm³
1.0
-0.7828 5.1465 1.7419
-5.2350 -0.2432 -1.6339
-1.4378 -1.8722 4.8855
Ti In Bi K
1 2 1 1
Direct
0.0000 0.0000 0.0000 Ti
0.5000 0.0000 0.0000 In
0.0000 0.5000 0.0000 In
0.0000 0.0000 0.5000 Bi
0.5000 0.5000 0.5000 K

---

GaPd3Pt4 PBE optimized geometry; formation enthalpy at 0 K = -0.249 eV/atom; SG = I4/mmm, No. 139; ΔE to the lowest computed polymorph = 0.0 meV per atom; mass density = 15.82 g/cm³
1.0
-1.6264 3.2834 -1.4356
0.7444 -1.2326 -3.6627
-6.6167 -4.6218 2.3281
Ga Pd Pt
1 3 4
Direct
0.5000 0.0000 0.0000 Ga
0.0000 0.5000 0.0000 Pd
0.7520 0.2520 0.5038 Pd
0.2480 0.7480 0.4962 Pd
0.8781 0.8782 0.7563 Pt
0.3782 0.3780 0.7563 Pt
0.1219 0.1218 0.2437 Pt
0.6218 0.6220 0.2437 Pt

---

LiTcS PBE optimized geometry; total energy = -5.83 eV/atom; SG = R-3m, No. 166; mass density = 4.91 g/cm³
1.0
3.6942 0.0000 0.0000
1.8471 3.1993 0.0000
1.8471 1.0664 7.8361
Tc S Li
2 2 2
Direct
0.8593 0.8593 0.4220 Tc
0.1407 0.1407 0.5780 Tc
0.2598 0.2598 0.2206 S
0.7402 0.7402 0.7794 S
0.6303 0.6303 0.1092 Li
0.3697 0.3697 0.8908 Li

---

LaPmNd5Sm2 PBE optimized geometry; formation enthalpy at 0 K = 0.254 eV/atom; SG = I4/mcm, No. 140; mass density = 6.80 g/cm³
1.0
8.9678 0.0000 0.0000
0.0000 8.9678 0.0000
-4.4839 -4.4839 7.9305
Nd La Sm Pm
10 2 4 2
Direct
0.4322 0.3401 0.2723 Nd
0.6599 0.1599 0.7277 Nd
0.5678 0.6599 0.7277 Nd
0.8401 0.9322 0.2723 Nd
0.3401 0.8401 0.2723 Nd
0.0678 0.5678 0.7277 Nd
0.1599 0.0678 0.7277 Nd
0.0000 0.0000 0.0000 Nd
0.9322 0.4322 0.2723 Nd
0.5000 0.5000 0.0000 Nd
0.2500 0.2500 0.5000 La
0.7500 0.7500 0.5000 La
0.3827 0.8827 0.0000 Sm
0.1173 0.3827 0.0000 Sm
0.8827 0.6173 0.0000 Sm
0.6173 0.1173 0.0000 Sm
0.2500 0.7500 0.5000 Pm
0.7500 0.2500 0.5000 Pm

---

KCrS2Cl PBE optimized geometry; SG = P4/mmm, No. 123; ΔE to the lowest computed polymorph = 1599.9 meV per atom; mass density = 1.84 g/cm³
1.0
-5.2788 0.4111 1.8138
1.7802 -0.4633 5.2859
0.5272 5.4466 0.2998
K S Cl Cr
1 2 1 1
Direct
0.0000 0.0000 0.0000 K
0.5000 0.0000 0.0000 S
0.0000 0.5000 0.0000 S
0.0000 0.0000 0.5000 Cl
0.5000 0.5000 0.5000 Cr

---

YZnPd6 PBE optimized geometry; formation enthalpy at 0 K = -0.561 eV/atom; SG = P4/mmm, No. 123; ΔE to the lowest computed polymorph = 0.0 meV per atom; mass density = 10.06 g/cm³
1.0
-1.7417 -2.6933 2.4863
-2.0385 -1.5761 -3.1352
5.9622 -5.0779 -1.3240
Pd Zn Y
6 1 1
Direct
0.0000 0.5000 0.2659 Pd
0.5000 0.5000 0.0000 Pd
0.5000 0.0000 0.7341 Pd
0.0000 0.5000 0.7341 Pd
0.5000 0.0000 0.2659 Pd
0.5000 0.5000 0.5000 Pd
0.0000 0.0000 0.5000 Zn
0.0000 0.0000 0.0000 Y

---

Ca4H5Ru PBE optimized geometry; total energy = -3.70 eV/atom; SG = I4, No. 79; mass density = 2.47 g/cm³
1.0
-0.3121 -4.6798 -4.8075
4.3207 -4.3184 -0.7684
-2.7116 -5.4683 0.8074
Ru Ca H
1 4 5
Direct
0.1238 0.0000 0.0000 Ru
0.2197 0.4913 0.8721 Ca
0.0918 0.1279 0.4913 Ca
0.7110 0.8721 0.5087 Ca
0.5831 0.5087 0.1279 Ca
0.8713 0.1725 0.2856 H
0.3294 0.8275 0.7144 H
0.3795 0.0000 0.0000 H
0.1569 0.7144 0.1725 H
0.0438 0.2856 0.8275 H

---

RbTbOsO6 PBE optimized geometry; total energy = -6.96 eV/atom; SG = P312, No. 149; mass density = 5.17 g/cm³
1.0
5.6642 0.0000 0.0001
2.8321 4.9052 0.0002
0.0004 -0.0001 6.1354
Rb O Os Tb
1 6 1 1
Direct
0.0000 0.0000 0.0000 Rb
0.0501 0.5885 0.6775 O
0.0501 0.3613 0.3225 O
0.5885 0.0502 0.3225 O
0.3613 0.0502 0.6775 O
0.3613 0.5885 0.3225 O
0.5885 0.3613 0.6775 O
0.3333 0.3334 0.5000 Os
0.6666 0.6667 0.5000 Tb

---

UInBr4 PBE optimized geometry; total energy = -4.51 eV/atom; SG = C2/m, No. 12; mass density = 4.55 g/cm³
1.0
-0.5294 -2.0216 3.8937
-5.8659 -1.0484 -3.8528
5.0147 -6.2993 -2.5884
In Br U
1 4 1
Direct
0.5000 0.0000 0.5000 In
0.1209 0.2412 0.3248 Br
0.8791 0.7589 0.6752 Br
0.3799 0.7604 0.0970 Br
0.6200 0.2395 0.9030 Br
0.0001 0.0000 0.0000 U

---

Pr3Ag4Sn4 PBE optimized geometry; formation enthalpy at 0 K = -0.464 eV/atom; SG = P-1, No. 2; ΔE to the lowest computed polymorph = 91.3 meV per atom; mass density = 7.83 g/cm³
1.0
4.1372 0.0006 0.0036
0.0010 4.7545 0.0052
2.0651 2.3702 14.3251
Sn Ag Pr
4 4 3
Direct
0.6886 0.1900 0.6217 Sn
0.4521 0.4500 0.0997 Sn
0.3114 0.8100 0.3783 Sn
0.5480 0.5500 0.9003 Sn
0.4050 0.9051 0.1891 Ag
0.5950 0.0949 0.8109 Ag
0.7441 0.7448 0.5121 Ag
0.2559 0.2552 0.4879 Ag
0.1462 0.6474 0.7060 Pr
0.0000 0.0000 0.0000 Pr
0.8539 0.3526 0.2940 Pr

---

Cs2Nb3Cl9 PBE optimized geometry; total energy = -4.98 eV/atom; SG = C2/m, No. 12; mass density = 3.17 g/cm³
1.0
10.0303 -0.1735 -2.3455
-3.5303 8.6371 -4.8563
-0.0842 0.0130 10.5186
Cs Cl Nb
4 18 6
Direct
0.8176 0.4526 0.7694 Cs
0.8176 0.7694 0.4526 Cs
0.1824 0.5474 0.2306 Cs
0.1824 0.2306 0.5474 Cs
0.8209 0.3054 0.3054 Cl
0.1791 0.6946 0.6946 Cl
0.8014 0.9250 0.1183 Cl
0.1986 0.8817 0.0750 Cl
0.5189 0.3793 0.1841 Cl
0.1986 0.0750 0.8817 Cl
0.4811 0.8159 0.6207 Cl
0.7678 0.7499 0.7499 Cl
0.8116 0.4782 0.1075 Cl
0.5189 0.1841 0.3793 Cl
0.1884 0.8925 0.5218 Cl
0.8116 0.1075 0.4782 Cl
0.2322 0.2501 0.2501 Cl
0.1884 0.5218 0.8925 Cl
0.4811 0.6207 0.8159 Cl
0.5000 0.1938 0.8062 Cl
0.8014 0.1183 0.9250 Cl
0.5000 0.8062 0.1938 Cl
0.3796 0.1110 0.1110 Nb
0.3632 0.9532 0.7889 Nb
0.6368 0.0468 0.2111 Nb
0.6204 0.8890 0.8890 Nb
0.3632 0.7889 0.9532 Nb
0.6368 0.2111 0.0468 Nb

---

Zr2AlCuH PBE optimized geometry; total energy = -5.98 eV/atom; SG = P4/mmm, No. 123; mass density = 6.05 g/cm³
1.0
-0.5798 -0.1790 4.3028
-2.9368 -3.1591 -0.5272
2.8891 -2.7318 0.2757
H Zr Cu Al
1 2 1 1
Direct
0.0000 0.0000 0.0000 H
0.0000 0.5000 0.0000 Zr
0.5000 0.0000 0.0000 Zr
0.0000 0.0000 0.5000 Cu
0.5000 0.5000 0.5000 Al

---

SmAl11Co PBE optimized geometry; formation enthalpy at 0 K = -0.210 eV/atom; SG = C2/m, No. 12; mass density = 3.82 g/cm³
1.0
-4.7518 1.5110 -1.2235
-2.5570 -4.3853 -5.0941
-4.7197 -3.0264 3.8204
Al Sm Co
11 1 1
Direct
0.2835 0.2334 0.2159 Al
0.7165 0.7665 0.7841 Al
0.0000 0.0000 0.5000 Al
0.5000 0.0000 0.5000 Al
0.3628 0.6384 0.6541 Al
0.0000 0.5000 0.0000 Al
0.0169 0.6384 0.3459 Al
0.9831 0.3616 0.6541 Al
0.4994 0.2334 0.7841 Al
0.6372 0.3616 0.3459 Al
0.5006 0.7665 0.2159 Al
0.0000 0.0000 0.0000 Sm
0.5000 0.5000 0.0000 Co

---

Na2Nd3TmTe6 PBE optimized geometry; total energy = -4.69 eV/atom; SG = C2/m, No. 12; mass density = 6.16 g/cm³
1.0
-5.7752 0.3820 -5.1230
6.0799 -4.5704 -1.3747
-3.5021 -4.1651 5.5736
Tm Na Te Nd
1 2 6 3
Direct
0.0000 0.0000 0.0000 Tm
0.6649 0.3351 0.0000 Na
0.3351 0.6649 0.0000 Na
0.9200 0.5943 0.7595 Te
0.2417 0.2417 0.7530 Te
0.7583 0.7583 0.2470 Te
0.4057 0.0800 0.2405 Te
0.0800 0.4057 0.2405 Te
0.5943 0.9200 0.7595 Te
0.5000 0.5000 0.5000 Nd
0.8288 0.1712 0.5000 Nd
0.1712 0.8288 0.5000 Nd

---

TbDyZn10 PBE optimized geometry; formation enthalpy at 0 K = -0.280 eV/atom; SG = Pmmm, No. 47; mass density = 7.88 g/cm³
1.0
4.2151 0.0000 0.0000
0.0000 5.3175 0.0000
0.0000 0.0000 9.1735
Zn Tb Dy
10 1 1
Direct
0.5000 0.7500 0.2498 Zn
0.0000 0.5000 0.8346 Zn
0.5000 0.5000 0.0000 Zn
0.5000 0.7500 0.7502 Zn
0.0000 0.0000 0.3332 Zn
0.5000 0.2500 0.2498 Zn
0.0000 0.0000 0.6668 Zn
0.5000 0.2500 0.7502 Zn
0.0000 0.5000 0.1654 Zn
0.5000 0.0000 0.5000 Zn
0.0000 0.5000 0.5000 Tb
0.0000 0.0000 0.0000 Dy